No. 1
A relaxed Tb4Tc6O19 crystal. Source: Alexandria, functional GGA-PBE.

The value obtained for the density of states at the Fermi level is 6.61 states/eV/f.u.

It has space group I23 (No. 197), with a = 8.992 Å, b = 8.992 Å, c = 8.992 Å, α = 90.00°, β = 90.00° and γ = 90.00°. The distinct sites, in fractional coordinates, are Tb at (0.148, 0.148, 0.148), Tc at (0.000, 0.134, 0.500), O at (0.000, 0.000, 0.000), O at (0.000, 0.000, 0.317) and O at (0.024, 0.282, 0.340).

---

No. 2
A relaxed Tb2TcO6 crystal. Source: Alexandria, functional GGA-PBE.

The value obtained for the density of states at the Fermi level is 2.73 states/eV/f.u.

It has space group P4_2/mnm (No. 136), with a = 5.012 Å, b = 5.012 Å, c = 10.037 Å, α = 90.00°, β = 90.00° and γ = 90.00°. The distinct sites, in fractional coordinates, are Tb at (0.000, 0.000, 0.172), Tc at (0.000, 0.000, 0.500), O at (0.187, 0.187, 0.354) and O at (0.233, 0.233, 0.000).

---

No. 3
A relaxed Tb2TcO8 crystal. Source: Alexandria, functional GGA-PBE.

The value obtained for the density of states at the Fermi level is 6.20 states/eV/f.u.

It has space group C2/m (No. 12), with a = 7.090 Å, b = 8.382 Å, c = 5.484 Å, α = 90.00°, β = 119.64° and γ = 90.00°. The distinct sites, in fractional coordinates, are Tb at (0.000, 0.203, 0.000), Tc at (0.000, 0.500, 0.500), O at (0.000, 0.285, 0.500), O at (0.189, 0.000, 0.313) and O at (0.229, 0.414, 0.085).

---

No. 4
A relaxed Tb2TcO6 crystal. Source: Alexandria, functional GGA-PBE.

The value obtained for the density of states at the Fermi level is 4.30 states/eV/f.u.

It has space group P2_1/c (No. 14), with a = 5.426 Å, b = 5.814 Å, c = 8.968 Å, α = 90.00°, β = 120.16° and γ = 90.00°. The distinct sites, in fractional coordinates, are Tb at (0.193, 0.089, 0.235), Tc at (0.500, 0.000, 0.000), O at (0.152, 0.171, 0.947), O at (0.267, 0.729, 0.908) and O at (0.437, 0.075, 0.775).

---

No. 5
A relaxed Tb2TcO crystal. Source: Alexandria, functional GGA-PBE.

The value obtained for the density of states at the Fermi level is 2.40 states/eV/f.u.

It has space group R-3m (No. 166, hexagonal axes), with a = 3.2742 Å, b = 3.2742 Å, c = 24.7724 Å, α = 90.00°, β = 90.00° and γ = 120.00°. The distinct sites, in fractional coordinates, are Tb at (0.0000, 0.0000, 0.1070), Tc at (0.0000, 0.0000, 0.0000) and O at (0.0000, 0.0000, 0.5000).

---

No. 6
A relaxed TbTl2TcO6 crystal. Source: Alexandria, functional GGA-PBE.

It has space group P-3m1 (No. 164), with a = 6.4552 Å, b = 6.4552 Å, c = 5.8137 Å, α = 90.00°, β = 90.00° and γ = 120.00°. The distinct sites, in fractional coordinates, are Tb at (0.0000, 0.0000, 0.0000), Tl at (0.3333, 0.6667, 0.4747), Tc at (0.0000, 0.0000, 0.5000) and O at (0.1358, 0.2716, 0.7015).

---

No. 7
A relaxed TbTlTcO6 crystal. Source: Alexandria, functional GGA-PBE.

The value obtained for the density of states at the Fermi level is 3.18 states/eV/f.u.

It has space group P312 (No. 149), with a = 5.5716 Å, b = 5.5716 Å, c = 4.7917 Å, α = 90.00°, β = 90.00° and γ = 120.00°. The distinct sites, in fractional coordinates, are Tb at (0.0000, 0.0000, 0.0000), Tl at (0.3333, 0.6667, 0.5000), Tc at (0.6667, 0.3333, 0.0000) and O at (0.3765, 0.0543, 0.7725).

---

No. 8
A relaxed Tb2Tl2TcO6 crystal. Source: Alexandria, functional GGA-PBE.

It has space group C2/m (No. 12), with a = 5.855 Å, b = 10.105 Å, c = 6.790 Å, α = 90.00°, β = 104.89° and γ = 90.00°. The distinct sites, in fractional coordinates, are Tb at (0.000, 0.165, 0.000), Tl at (0.000, 0.337, 0.500), Tc at (0.000, 0.500, 0.000), O at (0.200, 0.346, 0.162) and O at (0.250, 0.000, 0.170).

---

No. 9
A relaxed TbZnTc2O8 crystal. Source: Alexandria, functional GGA-PBE.

The value obtained for the density of states at the Fermi level is 5.82 states/eV/f.u.

It has space group I-4 (No. 82), with a = 5.104 Å, b = 5.104 Å, c = 11.195 Å, α = 90.00°, β = 90.00° and γ = 90.00°. The distinct sites, in fractional coordinates, are Tb at (0.000, 0.000, 0.000), Zn at (0.000, 0.500, 0.750), Tc at (0.000, 0.000, 0.500), Tc at (0.000, 0.500, 0.250), O at (0.170, 0.254, 0.585) and O at (0.178, 0.754, 0.168).

---

No. 10
A relaxed Tb2Te2O crystal. Source: Alexandria, functional GGA-PBE.

The value obtained for the density of states at the Fermi level is 0.56 states/eV/f.u.

It has space group C2/m (No. 12), with a = 13.384 Å, b = 3.979 Å, c = 11.387 Å, α = 90.00°, β = 123.84° and γ = 90.00°. The distinct sites, in fractional coordinates, are Tb at (0.027, 0.000, 0.172), Tb at (0.186, 0.000, 0.572), Te at (0.030, 0.500, 0.667), Te at (0.164, 0.500, 0.089) and O at (0.211, 0.000, 0.387).

---

No. 11
A relaxed Tb3Te2O crystal. Source: Alexandria, functional GGA-PBE.

The value obtained for the density of states at the Fermi level is 4.56 states/eV/f.u.

It has space group Cmc2_1 (No. 36), with a = 14.371 Å, b = 8.185 Å, c = 6.072 Å, α = 90.00°, β = 90.00° and γ = 90.00°. The distinct sites, in fractional coordinates, are Tb at (0.000, 0.095, 0.000), Tb at (0.143, 0.257, 0.465), Te at (0.153, 0.361, 0.966) and O at (0.000, 0.167, 0.403).

---

No. 12
A relaxed Tb4Te3O2 crystal. Source: Alexandria, functional GGA-PBE.

The value obtained for the density of states at the Fermi level is 3.04 states/eV/f.u.

It has space group C2/m (No. 12), with a = 13.541 Å, b = 3.749 Å, c = 8.710 Å, α = 90.00°, β = 103.48° and γ = 90.00°. The distinct sites, in fractional coordinates, are Tb at (0.083, 0.000, 0.193), Tb at (0.181, 0.500, 0.598), Te at (0.000, 0.000, 0.500), Te at (0.110, 0.500, 0.917) and O at (0.204, 0.500, 0.341).

---

No. 13
A relaxed Tb6TeO12 crystal. Source: Alexandria, functional GGA-PBE.

The value obtained for the density of states at the Fermi level is 0.00 states/eV/f.u.

It has space group R-3 (No. 148, hexagonal axes), with a = 9.9048 Å, b = 9.9048 Å, c = 9.4540 Å, α = 90.00°, β = 90.00° and γ = 120.00°. The distinct sites, in fractional coordinates, are Tb at (0.0418, 0.2534, 0.1433), Te at (0.0000, 0.0000, 0.5000), O at (0.0329, 0.2241, 0.9015) and O at (0.0404, 0.1855, 0.3889).

---

No. 14
A relaxed Tb3TeO3 crystal. Source: Alexandria, functional GGA-PBE.

The value obtained for the density of states at the Fermi level is 1.95 states/eV/f.u.

It has space group R-3 (No. 148, hexagonal axes), with a = 6.7173 Å, b = 6.7173 Å, c = 21.7036 Å, α = 90.00°, β = 90.00° and γ = 120.00°. The distinct sites, in fractional coordinates, are Tb at (0.0003, 0.3278, 0.1010), Te at (0.0000, 0.0000, 0.3334) and O at (0.0007, 0.3357, 0.8736).

---

No. 15
A relaxed Tb3TeO3 crystal. Source: Alexandria, functional GGA-PBE.

The value obtained for the density of states at the Fermi level is 2.65 states/eV/f.u.

It has space group P2_1/m (No. 11), with a = 8.503 Å, b = 3.920 Å, c = 8.981 Å, α = 90.00°, β = 108.83° and γ = 90.00°. The distinct sites, in fractional coordinates, are Tb at (0.061, 0.250, 0.296), Tb at (0.313, 0.250, 0.961), Tb at (0.418, 0.750, 0.306), Te at (0.267, 0.750, 0.582), O at (0.047, 0.250, 0.814), O at (0.277, 0.250, 0.207) and O at (0.416, 0.750, 0.054).

---

No. 16
A relaxed Tb2Te4O11 crystal. Source: Alexandria, functional GGA-PBE.

The value obtained for the density of states at the Fermi level is 0.00 states/eV/f.u.

It has space group C2/c (No. 15), with a = 12.521 Å, b = 5.192 Å, c = 16.421 Å, α = 90.00°, β = 104.93° and γ = 90.00°. The distinct sites, in fractional coordinates, are Tb at (0.119, 0.249, 0.037), Te at (0.121, 0.281, 0.698), Te at (0.130, 0.282, 0.376), O at (0.000, 0.149, 0.750), O at (0.024, 0.422, 0.597), O at (0.069, 0.108, 0.455), O at (0.148, 0.054, 0.167), O at (0.208, 0.456, 0.948) and O at (0.246, 0.438, 0.626).

---

No. 17
A relaxed Tb4Te3O crystal. Source: Alexandria, functional GGA-PBE.

The value obtained for the density of states at the Fermi level is 4.63 states/eV/f.u.

It has space group Pmn2_1 (No. 31), with a = 9.810 Å, b = 8.035 Å, c = 6.144 Å, α = 90.00°, β = 90.00° and γ = 90.00°. The distinct sites, in fractional coordinates, are Tb at (0.000, 0.127, 0.000), Tb at (0.000, 0.867, 0.498), Tb at (0.198, 0.243, 0.483), Te at (0.000, 0.752, 0.005), Te at (0.242, 0.360, 0.988) and O at (0.000, 0.137, 0.359).

---

No. 18
A relaxed Tb2Te2O crystal. Source: Alexandria, functional GGA-PBE.

The value obtained for the density of states at the Fermi level is 0.06 states/eV/f.u.

It has space group Ibam (No. 72), with a = 7.238 Å, b = 11.819 Å, c = 5.976 Å, α = 90.00°, β = 90.00° and γ = 90.00°. The distinct sites, in fractional coordinates, are Tb at (0.191, 0.093, 0.000), Te at (0.141, 0.355, 0.000) and O at (0.000, 0.000, 0.250).

---

Computed E (eV/atom) in order:
-8.150, -7.990, -6.954, -8.018, -6.879, -6.476, -6.896, -6.963, -7.247, -6.208, -5.802, -6.114, -7.880, -7.423, -7.385, -6.343, -5.625, -6.202
Computed E_form (uncorrected) (meV per atom) in order:
-2118, -2504, -1564, -2532, -733, -1528, -1662, -2044, -1722, -2108, -1613, -1907, -3121, -2865, -2827, -1851, -1512, -2101